1.
# MgUVO6 (PBE with a Hubbard U, optimized geometry)
# E = -8.111 eV/atom
# DOS at the Fermi energy = 0.438 states/eV per atom
# Total magnetization = 0.1111 μB per atom
# Calculated density = 6.17 g cm⁻³
data_MgUVO6
_cell_length_a 5.3130
_cell_length_b 5.3130
_cell_length_c 9.0098
_cell_angle_alpha 90.00
_cell_angle_beta 90.00
_cell_angle_gamma 120.00
_space_group_name_H-M_alt 'P -3 1 c'
_space_group_IT_number 163
_space_group_name_Hall '-P 3 2c'
loop_
_atom_site_label
_atom_site_type_symbol
_atom_site_fract_x
_atom_site_fract_y
_atom_site_fract_z
_atom_site_occupancy
Mg1 Mg 0.0000 0.0000 0.0000 1
U1 U 0.3333 0.6667 0.2500 1
V1 V 0.3333 0.6667 0.7500 1
O1 O 0.0179 0.3553 0.6339 1


2.
# Mg2UVO6 (PBE with a Hubbard U, optimized geometry)
# E = -7.491 eV/atom
# DOS at the Fermi energy = 0.398 states/eV per atom
# Total magnetization = 0.2926 μB per atom
# Calculated density = 4.95 g cm⁻³
data_Mg2UVO6
_cell_length_a 5.478
_cell_length_b 5.478
_cell_length_c 4.849
_cell_angle_alpha 90.00
_cell_angle_beta 90.00
_cell_angle_gamma 90.00
_space_group_name_H-M_alt 'P 4 m m'
_space_group_IT_number 99
_space_group_name_Hall 'P 4 -2'
loop_
_atom_site_label
_atom_site_type_symbol
_atom_site_fract_x
_atom_site_fract_y
_atom_site_fract_z
_atom_site_occupancy
Mg1 Mg 0.000 0.500 0.000 1
U1 U 0.000 0.000 0.649 1
V1 V 0.500 0.500 0.686 1
O1 O 0.000 0.000 0.234 1
O2 O 0.261 0.261 0.829 1
O3 O 0.500 0.500 0.338 1